1.
## YHgSb (PBE)

Data for crystalline YHgSb at its relaxed geometry.

abc: 8.707 5.030 9.038
angles: 90.00 108.48 90.00
Space group Cm (No. 8)
Unique sites:
Y1 0.000 0.000 0.000
Y2 0.230 0.000 0.687
Hg1 0.109 0.500 0.825
Hg2 0.339 0.500 0.513
Sb1 0.117 0.000 0.351
Sb2 0.358 0.000 0.077

Calculated values
Formation energy without anion corrections ... -109 kJ/mol of formula units
Offset from the most stable computed form ... 182 meV/atom

2.
## YHgSb2 (PBE)

Data for crystalline YHgSb2 at its relaxed geometry.

abc: 4.063 4.201 6.471
angles: 90.00 90.00 90.00
Space group Pmmm (No. 47)
Unique sites:
Y1 0.000 0.000 0.000
Hg1 0.000 0.000 0.500
Sb1 0.500 0.500 0.226

Calculated values
Formation energy without anion corrections ... -186 kJ/mol of formula units
Offset from the most stable computed form ... 0 meV/atom

3.
## Y2Hg2Sb (PBE)

Data for crystalline Y2Hg2Sb at its relaxed geometry.

abc: 7.817 7.817 4.350
angles: 90.00 90.00 90.00
Space group P4/mbm (No. 127)
Unique sites:
Y1 0.169 0.331 0.000
Hg1 0.130 0.630 0.500
Sb1 0.000 0.000 0.500

Calculated values
Formation energy without anion corrections ... -239 kJ/mol of formula units
Offset from the most stable computed form ... 0 meV/atom

4.
## YHgSb2 (PBE)

Data for crystalline YHgSb2 at its relaxed geometry.

abc: 3.5203 3.5203 33.1080
angles: 90.00 90.00 120.00
Space group R-3m (No. 166, hexagonal axes)
Unique sites:
Y1 0.0000 0.0000 0.0000
Hg1 0.0000 0.0000 0.5000
Sb1 0.0000 0.0000 0.2580

Calculated values
Formation energy without anion corrections ... -80 kJ/mol of formula units
Offset from the most stable computed form ... 276 meV/atom

5.
## YbHg2Sb (PBE)

Data for crystalline YbHg2Sb at its relaxed geometry.

abc: 9.124 5.272 5.282
angles: 90.00 125.21 90.00
Space group C2/m (No. 12)
Unique sites:
Yb1 0.000 0.000 0.000
Hg1 0.250 0.000 0.750
Sb1 0.000 0.500 0.500

Calculated values
Formation energy without anion corrections ... -156 kJ/mol of formula units

6.
## ZnHgSb (PBE)

Data for crystalline ZnHgSb at its relaxed geometry.

abc: 3.254 4.071 10.609
angles: 90.00 90.00 90.00
Space group Imm2 (No. 44)
Unique sites:
Zn1 0.000 0.000 0.000
Hg1 0.000 0.000 0.662
Sb1 0.000 0.000 0.360

Calculated values
Formation energy without anion corrections ... 58 kJ/mol of formula units
Offset from the most stable computed form ... 177 meV/atom

7.
## ZnHgSb2 (PBE)

Data for crystalline ZnHgSb2 at its relaxed geometry.

abc: 3.3643 3.3643 33.1787
angles: 90.00 90.00 120.00
Space group R-3m (No. 166, hexagonal axes)
Unique sites:
Zn1 0.0000 0.0000 0.0000
Hg1 0.0000 0.0000 0.5000
Sb1 0.0000 0.0000 0.2693

Calculated values
Formation energy without anion corrections ... 62 kJ/mol of formula units
Offset from the most stable computed form ... 62 meV/atom

8.
## ZnHgSb2 (PBE)

Data for crystalline ZnHgSb2 at its relaxed geometry.

abc: 4.096 5.482 8.838
angles: 90.00 90.00 90.00
Space group Immm (No. 71)
Unique sites:
Zn1 0.000 0.000 0.000
Hg1 0.000 0.000 0.500
Sb1 0.000 0.500 0.279

Calculated values
Formation energy without anion corrections ... 78 kJ/mol of formula units
Offset from the most stable computed form ... 105 meV/atom